(1)
Entry from Alexandria: a relaxed structure of La2TlRhN (PBE).

Properties
- Offset from the most stable computed form: 0.00 eV per formula unit
- Uncorrected formation energy: -0.64 eV per atom

Cell: 5.3020 5.3020 4.0431 Å, 90.00 90.00 90.00°
Positions (direct):
Tl1 0.5000 0.5000 0.5000
N1 0.0000 0.0000 0.0000
Rh1 0.0000 0.0000 0.5000
La1 0.0000 0.5000 0.0000
La2 0.5000 0.0000 0.0000

=====

(2)
Entry from Alexandria: a relaxed structure of KPuH2 (PBE).

Properties
- Offset from the most stable computed form: 0.48 eV per formula unit

Cell: 3.1425 3.1425 6.8360 Å, 90.00 90.00 90.00°
Each line ends with the local moment (μB).
Positions (direct):
H1 0.0000 0.0000 0.8073  -0.03
H2 0.0000 0.0000 0.1927  -0.03
K1 0.5000 0.5000 0.5000  0.05
Pu1 0.5000 0.5000 0.0000  6.07

=====

(3)
Entry from Alexandria: a relaxed structure of KAgBr2 (PBE).

Properties
- Uncorrected formation energy: -0.99 eV per atom

Cell: 5.4571 4.4568 5.5070 Å, 86.41 90.00 90.00°
Positions (direct):
K1 0.0000 0.5036 0.3902
Br1 0.0000 0.9046 0.8706
Br2 0.5000 0.0917 0.3663
Ag1 0.5000 0.9999 0.8727

=====

(4)
Entry from Alexandria: a relaxed structure of YZn2SiRh2 (PBE).

Properties
- Uncorrected formation energy: -0.42 eV per atom

Cell: 4.4464 4.4464 5.6045 Å, 90.00 90.00 90.00°
Each line ends with the local moment (μB).
Positions (direct):
Y1 0.0000 0.0000 0.5000  0.01
Zn1 0.5000 0.5000 0.7258  0.00
Zn2 0.5000 0.5000 0.2742  0.00
Si1 0.0000 0.0000 0.0000  0.00
Rh1 0.5000 0.0000 0.0000  0.06
Rh2 0.0000 0.5000 0.0000  0.06